[1]
DFT (GGA-PBE) results for crystalline AcPPb2 at its relaxed geometry.

POSCAR file:
```
AcPPb2
1.0
-1.779 -1.211 3.221
1.855 -2.330 2.478
3.617 7.105 7.000
Pb Ac P
2 1 1
direct
0.111 0.111 0.668
0.889 0.889 0.332
0.000 0.000 0.000
0.500 0.500 0.500
```

Values from the calculation:
Offset from the most stable computed form in meV/atom: 500
Calculated formation energy in eV/atom: 0.12
Theoretical density in g cm⁻³: 8.3
Raw total energy in eV/atom: -4.1108

=====

[2]
DFT (GGA-PBE) results for crystalline AcP4Pb at its relaxed geometry.

POSCAR file:
```
AcP4Pb
1.0
5.660 0.000 0.000
2.830 4.902 0.000
2.830 1.634 4.622
P Ac Pb
4 1 1
direct
0.642 0.075 0.642
0.642 0.642 0.642
0.642 0.642 0.075
0.075 0.642 0.642
0.250 0.250 0.250
0.000 0.000 0.000
```

Values from the calculation:
Calculated formation energy in eV/atom: -0.07
Theoretical density in g cm⁻³: 7.2
Raw total energy in eV/atom: -4.9778

=====

[3]
DFT (GGA-PBE) results for crystalline Ac4P2Pb at its relaxed geometry.

POSCAR file:
```
Ac4P2Pb
1.0
-2.734 -1.624 3.230
-2.129 -3.165 -6.573
9.678 -11.504 2.405
Ac Pb P
8 2 4
direct
0.769 0.537 0.115
0.064 0.129 0.250
0.936 0.871 0.750
0.769 0.537 0.385
0.500 0.000 0.000
0.231 0.463 0.615
0.231 0.463 0.885
0.500 0.000 0.500
0.391 0.782 0.250
0.609 0.218 0.750
0.864 0.728 0.940
0.136 0.272 0.060
0.136 0.272 0.440
0.864 0.728 0.560
```

Values from the calculation:
Calculated formation energy in eV/atom: -1.00
Theoretical density in g cm⁻³: 7.8
Raw total energy in eV/atom: -5.4275

=====

[4]
DFT (GGA-PBE) results for crystalline Ac5P6Pb at its relaxed geometry.

POSCAR file:
```
Ac5P6Pb
1.0
7.569 0.182 1.149
1.856 6.434 3.750
0.124 0.068 7.676
P Pb Ac
6 1 5
direct
0.747 0.426 0.659
0.253 0.916 0.659
0.253 0.574 0.341
0.254 0.256 0.000
0.747 0.084 0.341
0.746 0.744 0.000
0.000 0.000 0.000
0.500 0.164 0.671
0.000 0.332 0.335
0.500 0.500 0.000
0.500 0.836 0.329
0.000 0.668 0.665
```

Values from the calculation:
Calculated formation energy in eV/atom: -1.14
Theoretical density in g cm⁻³: 6.9
Raw total energy in eV/atom: -5.8630

=====

[5]
DFT (GGA-PBE) results for crystalline AcPPb2 at its relaxed geometry.

POSCAR file:
```
AcPPb2
1.0
-2.011 -4.178 -3.139
4.241 -1.470 -0.761
-0.257 -2.651 3.692
Ac Pb P
1 2 1
direct
0.500 0.500 0.500
0.000 0.000 0.500
0.000 0.500 0.000
0.500 0.000 0.000
```

Values from the calculation:
Offset from the most stable computed form in meV/atom: 0
Calculated formation energy in eV/atom: -0.38
Theoretical density in g cm⁻³: 9.6
Raw total energy in eV/atom: -4.6111

=====

[6]
DFT (GGA-PBE) results for crystalline Ac3PPb2 at its relaxed geometry.

POSCAR file:
```
Ac3PPb2
1.0
-5.450 -2.144 -4.407
-3.910 -3.562 5.074
-5.050 6.274 1.758
Ac Pb P
6 4 2
direct
0.396 0.604 0.250
0.771 0.896 0.489
0.896 0.771 0.989
0.229 0.104 0.511
0.104 0.229 0.011
0.604 0.396 0.750
0.438 0.857 0.845
0.562 0.143 0.155
0.143 0.562 0.655
0.857 0.438 0.345
0.904 0.096 0.750
0.096 0.904 0.250
```

Values from the calculation:
Calculated formation energy in eV/atom: -0.67
Theoretical density in g cm⁻³: 8.6
Raw total energy in eV/atom: -4.8591

=====

[7]
DFT (GGA-PBE) results for crystalline Ac4PPb2 at its relaxed geometry.

POSCAR file:
```
Ac4PPb2
1.0
-0.645 -4.972 2.729
3.560 -2.493 -3.700
5.353 5.713 5.704
Pb Ac P
2 4 1
direct
0.633 0.633 0.266
0.367 0.367 0.734
0.500 0.000 0.000
0.174 0.174 0.348
0.000 0.500 0.000
0.826 0.826 0.652
0.000 0.000 0.000
```

Values from the calculation:
Offset from the most stable computed form in meV/atom: 139
Calculated formation energy in eV/atom: -0.59
Theoretical density in g cm⁻³: 7.8
Raw total energy in eV/atom: -4.7709

=====

[8]
DFT (GGA-PBE) results for crystalline Ac2P3Pd4Pb at its relaxed geometry.

POSCAR file:
```
Ac2P3Pd4Pb
1.0
-2.227 -1.639 -3.353
3.720 -0.658 -2.149
0.759 -9.965 4.366
Pb P Ac Pd
1 3 2 4
direct
0.500 0.500 0.500
0.000 0.000 0.500
0.500 0.000 0.877
0.000 0.500 0.123
0.500 0.000 0.230
0.000 0.500 0.770
0.500 0.500 0.000
0.500 0.000 0.658
0.000 0.000 0.000
0.000 0.500 0.342
```

Values from the calculation:
Calculated formation energy in eV/atom: -0.81
Theoretical density in g cm⁻³: 9.5
Raw total energy in eV/atom: -5.7063

=====

[9]
DFT (GGA-PBE) results for crystalline AcP2Pd2Pb at its relaxed geometry.

POSCAR file:
```
AcP2Pd2Pb
1.0
4.204 0.000 0.000
-2.102 3.641 0.000
0.000 0.000 8.665
Pd Ac Pb P
2 1 1 2
direct
0.667 0.333 0.733
0.333 0.667 0.267
0.000 0.000 0.000
0.000 0.000 0.500
0.333 0.667 0.764
0.667 0.333 0.236
```

Values from the calculation:
Calculated formation energy in eV/atom: -0.75
Theoretical density in g cm⁻³: 8.9
Raw total energy in eV/atom: -5.5847

=====

[10]
DFT (GGA-PBE) results for crystalline Ac2P3Pd12Pb at its relaxed geometry.

POSCAR file:
```
Ac2P3Pd12Pb
1.0
7.640 -0.495 -0.351
3.342 6.888 -0.351
3.342 1.946 6.617
Pb Pd P Ac
1 12 3 2
direct
0.000 0.000 0.000
0.293 0.869 0.293
0.141 0.606 0.141
0.707 0.707 0.131
0.869 0.293 0.293
0.394 0.859 0.859
0.141 0.141 0.606
0.131 0.707 0.707
0.707 0.131 0.707
0.859 0.859 0.394
0.859 0.394 0.859
0.293 0.293 0.869
0.606 0.141 0.141
0.000 0.000 0.500
0.000 0.500 0.000
0.500 0.000 0.000
0.395 0.395 0.395
0.605 0.605 0.605
```

Values from the calculation:
Calculated formation energy in eV/atom: -0.39
Theoretical density in g cm⁻³: 9.1
Raw total energy in eV/atom: -5.4157

=====

[11]
DFT (GGA-PBE) results for crystalline AcPPdPb at its relaxed geometry.

POSCAR file:
```
AcPPdPb
1.0
-3.743 3.548 0.558
-4.896 -1.177 -1.246
-3.563 -0.554 3.729
Pd Ac P Pb
1 1 1 1
direct
0.500 0.500 0.500
0.750 0.750 0.750
0.000 0.000 0.000
0.250 0.250 0.250
```

Values from the calculation:
Calculated formation energy in eV/atom: -0.50
Theoretical density in g cm⁻³: 9.6
Raw total energy in eV/atom: -5.1008

=====

[12]
DFT (GGA-PBE) results for crystalline AcP2Pd7Pb2 at its relaxed geometry.

POSCAR file:
```
AcP2Pd7Pb2
1.0
4.518 0.216 -0.414
0.222 4.517 -0.414
1.115 1.114 11.618
Pd Pb Ac P
7 2 1 2
direct
0.380 0.380 0.395
0.620 0.620 0.605
0.500 0.500 0.000
0.134 0.647 0.758
0.647 0.134 0.758
0.353 0.866 0.242
0.866 0.353 0.242
0.838 0.838 0.400
0.162 0.162 0.600
0.000 0.000 0.000
0.363 0.363 0.182
0.637 0.637 0.818
```

Values from the calculation:
Calculated formation energy in eV/atom: -0.52
Theoretical density in g cm⁻³: 10.0
Raw total energy in eV/atom: -5.4149

=====

[13]
DFT (GGA-PBE) results for crystalline AcP2Pd4Pb at its relaxed geometry.

POSCAR file:
```
AcP2Pd4Pb
1.0
-2.942 2.712 0.931
-2.861 -2.687 -1.213
-0.453 -3.577 8.989
P Pd Pb Ac
2 4 1 1
direct
0.500 0.500 0.661
0.500 0.500 0.339
0.500 0.000 0.790
0.500 0.000 0.210
0.000 0.500 0.210
0.000 0.500 0.790
0.000 0.000 0.000
0.000 0.000 0.500
```

Values from the calculation:
Calculated formation energy in eV/atom: -0.62
Theoretical density in g cm⁻³: 9.4
Raw total energy in eV/atom: -5.5461

=====

[14]
DFT (GGA-PBE) results for crystalline AcP2Pt7Pb2 at its relaxed geometry.

POSCAR file:
```
AcP2Pt7Pb2
1.0
4.421 -0.403 -0.362
-0.397 4.422 -0.362
0.625 0.625 12.748
Pt Pb P Ac
7 2 2 1
direct
0.163 0.570 0.814
0.837 0.430 0.186
0.500 0.500 0.000
0.430 0.837 0.186
0.355 0.355 0.411
0.570 0.163 0.814
0.645 0.645 0.589
0.151 0.151 0.618
0.849 0.849 0.382
0.692 0.692 0.768
0.308 0.308 0.232
0.000 0.000 0.000
```

Values from the calculation:
Calculated formation energy in eV/atom: -0.50
Theoretical density in g cm⁻³: 13.8
Raw total energy in eV/atom: -5.8862

=====

[15]
DFT (GGA-PBE) results for crystalline AcP2Rh5Pb at its relaxed geometry.

POSCAR file:
```
AcP2Rh5Pb
1.0
-3.073 1.266 2.487
1.650 -2.160 3.138
5.566 8.187 2.710
Ac Rh P Pb
1 5 2 1
direct
0.000 0.000 0.500
0.500 0.000 0.817
0.000 0.500 0.183
0.500 0.000 0.183
0.000 0.500 0.817
0.500 0.500 0.500
0.500 0.500 0.724
0.500 0.500 0.276
0.000 0.000 0.000
```

Values from the calculation:
Calculated formation energy in eV/atom: -0.65
Theoretical density in g cm⁻³: 9.5
Raw total energy in eV/atom: -6.8033

=====

[16]
DFT (GGA-PBE) results for crystalline Ac2P3Rh12Pb at its relaxed geometry.

POSCAR file:
```
Ac2P3Rh12Pb
1.0
7.564 -0.360 -0.255
3.423 6.755 -0.255
3.423 1.992 6.459
Rh P Pb Ac
12 3 1 2
direct
0.862 0.862 0.394
0.138 0.138 0.606
0.394 0.862 0.862
0.335 0.909 0.335
0.665 0.091 0.665
0.138 0.606 0.138
0.335 0.335 0.909
0.665 0.665 0.091
0.909 0.335 0.335
0.091 0.665 0.665
0.862 0.394 0.862
0.606 0.138 0.138
0.000 0.000 0.500
0.500 0.000 0.000
0.000 0.500 0.000
0.000 0.000 0.000
0.604 0.604 0.604
0.396 0.396 0.396
```

Values from the calculation:
Calculated formation energy in eV/atom: -0.21
Theoretical density in g cm⁻³: 9.5
Raw total energy in eV/atom: -6.6726

=====

[17]
DFT (GGA-PBE) results for crystalline Ac3P2Rh9Pb at its relaxed geometry.

POSCAR file:
```
Ac3P2Rh9Pb
1.0
6.197 0.000 0.000
-3.098 5.367 0.000
0.000 0.000 9.462
Ac Rh P Pb
3 9 2 1
direct
0.667 0.333 0.316
0.000 0.000 0.000
0.333 0.667 0.684
0.846 0.154 0.730
0.000 0.500 0.000
0.154 0.846 0.270
0.154 0.309 0.270
0.691 0.846 0.270
0.500 0.500 0.000
0.846 0.691 0.730
0.500 0.000 0.000
0.309 0.154 0.730
0.667 0.333 0.846
0.333 0.667 0.154
0.000 0.000 0.500
```

Values from the calculation:
Calculated formation energy in eV/atom: -0.60
Theoretical density in g cm⁻³: 9.9
Raw total energy in eV/atom: -6.8042

=====

[18]
DFT (GGA-PBE) results for crystalline Ac2PRh6Pb at its relaxed geometry.

POSCAR file:
```
Ac2PRh6Pb
1.0
-5.500 -1.427 2.424
3.386 -3.709 5.527
-0.425 0.783 7.410
Ac Rh P Pb
2 6 1 1
direct
0.258 0.743 0.485
0.742 0.257 0.515
0.739 0.815 0.523
0.812 0.738 0.926
0.739 0.262 0.075
0.261 0.185 0.477
0.188 0.262 0.074
0.261 0.738 0.925
0.500 0.500 0.000
0.000 0.000 0.000
```

Values from the calculation:
Calculated formation energy in eV/atom: -0.56
Theoretical density in g cm⁻³: 10.0
Raw total energy in eV/atom: -6.7022

=====

[19]
DFT (GGA-PBE) results for crystalline AcPRh3Pb at its relaxed geometry.

POSCAR file:
```
AcPRh3Pb
1.0
-3.589 -2.359 -3.964
4.397 0.127 -4.056
0.024 -7.119 4.216
Rh Ac P Pb
6 2 2 2
direct
0.750 0.781 0.562
0.500 0.233 0.000
0.500 0.767 0.000
0.000 0.767 0.000
0.000 0.233 0.000
0.250 0.219 0.438
0.750 0.230 0.460
0.250 0.770 0.540
0.750 0.928 0.856
0.250 0.072 0.144
0.250 0.394 0.788
0.750 0.606 0.212
```

Values from the calculation:
Calculated formation energy in eV/atom: -0.60
Theoretical density in g cm⁻³: 9.5
Raw total energy in eV/atom: -6.4790

=====

[20]
DFT (GGA-PBE) results for crystalline Ac4PPb2S at its relaxed geometry.

POSCAR file:
```
Ac4PPb2S
1.0
-0.043 1.701 -4.108
-7.306 2.214 0.993
4.993 6.392 2.595
Ac Pb P S
4 2 1 1
direct
0.500 0.764 0.784
0.000 0.258 0.782
0.000 0.742 0.218
0.500 0.236 0.216
0.500 0.000 0.500
0.000 0.500 0.500
0.000 0.000 0.000
0.500 0.500 0.000
```

Values from the calculation:
Uncorrected formation energy in eV per atom: -1.078
Theoretical density in g cm⁻³: 8.3
Raw total energy in eV/atom: -5.2513